Entry from Alexandria: a relaxed structure of CdAgSb2 (GGA-PBEsol).

Results
Magnetization (μB per cell): 0.00
Uncorrected formation energy (eV per atom): 0.158
Fermi-level density of states (states/eV/atom): 0.46
Symmetry: R-3m
Raw total energy (eV per atom): -3.25

a b c (Å): 10.432 10.432 10.432
angles (deg): 17.78 17.78 17.78
Fractional positions:
Cd 0.000 0.000 0.000
Ag 0.500 0.500 0.500
Sb 0.243 0.243 0.243
Sb 0.757 0.757 0.757

***

Entry from Alexandria: a relaxed structure of InPb3Cl (GGA-PBEsol).

Results
Magnetization (μB per cell): 0.00
Uncorrected formation energy (eV per atom): 0.253
Fermi-level density of states (states/eV/atom): 0.43
Symmetry: Pm-3m
Raw total energy (eV per atom): -3.14

a b c (Å): 5.467 5.467 5.467
angles (deg): 90.00 90.00 90.00
Fractional positions:
In 0.000 0.000 0.000
Pb 0.000 0.500 0.500
Pb 0.500 0.000 0.500
Pb 0.500 0.500 0.000
Cl 0.500 0.500 0.500

***

Entry from Alexandria: a relaxed structure of LaRe3Sn (GGA-PBEsol).

Results
Magnetization (μB per cell): 2.46
DFT formation energy (eV per atom): 2.935
Fermi-level density of states (states/eV/atom): 1.31
Symmetry: Pm-3m
Raw total energy (eV per atom): -6.99

a b c (Å): 4.832 4.832 4.832
angles (deg): 90.00 90.00 90.00
Fractional positions:
La 0.000 0.000 0.000
Re 0.000 0.000 0.500
Re 0.000 0.500 0.000
Re 0.500 0.000 0.000
Sn 0.500 0.500 0.500

***

Entry from Alexandria: a relaxed structure of AlCuAg3 (GGA-PBEsol).

Results
Magnetization (μB per cell): 0.00
DFT formation energy (eV per atom): 0.852
Fermi-level density of states (states/eV/atom): 0.39
Symmetry: Pm-3m
Raw total energy (eV per atom): -2.82

a b c (Å): 4.685 4.685 4.685
angles (deg): 90.00 90.00 90.00
Fractional positions:
Al 0.000 0.000 0.000
Cu 0.500 0.500 0.500
Ag 0.000 0.000 0.500
Ag 0.000 0.500 0.000
Ag 0.500 0.000 0.000

***

Entry from Alexandria: a relaxed structure of LaNdMg2 (GGA-PBEsol).

Results
Magnetization (μB per cell): 0.00
DFT formation energy (eV per atom): -0.099
Fermi-level density of states (states/eV/atom): 0.98
Symmetry: Fm-3m
Raw total energy (eV per atom): -3.59

a b c (Å): 5.475 5.475 5.475
angles (deg): 60.00 60.00 60.00
Fractional positions:
La 0.000 0.000 0.000
Nd 0.500 0.500 0.500
Mg 0.250 0.250 0.250
Mg 0.750 0.750 0.750

***

Entry from Alexandria: a relaxed structure of ScGaAu3 (GGA-PBEsol).

Results
Magnetization (μB per cell): 0.00
DFT formation energy (eV per atom): 0.049
Fermi-level density of states (states/eV/atom): 0.60
Symmetry: Pm-3m
Raw total energy (eV per atom): -4.29

a b c (Å): 4.723 4.723 4.723
angles (deg): 90.00 90.00 90.00
Fractional positions:
Sc 0.000 0.000 0.000
Ga 0.500 0.500 0.500
Au 0.000 0.500 0.500
Au 0.500 0.000 0.500
Au 0.500 0.500 0.000

***

Entry from Alexandria: a relaxed structure of Sr2FeH6 (GGA-PBEsol).

Results
Magnetization (μB per cell): 0.13
Symmetry: Fm-3m
Raw total energy (eV per atom): -4.15

a b c (Å): 5.172 5.172 5.172
angles (deg): 60.00 60.00 60.00
Fractional positions:
Sr 0.250 0.250 0.250
Sr 0.750 0.750 0.750
Fe 0.000 0.000 0.000
H 0.219 0.219 0.781
H 0.219 0.781 0.219
H 0.219 0.781 0.781
H 0.781 0.219 0.219
H 0.781 0.219 0.781
H 0.781 0.781 0.219

***

Entry from Alexandria: a relaxed structure of Mg2AlAg (GGA-PBEsol).

Results
Magnetization (μB per cell): 0.00
DFT formation energy (eV per atom): -0.076
Fermi-level density of states (states/eV/atom): 0.33
Symmetry: I4/mmm
Raw total energy (eV per atom): -2.79

a b c (Å): 5.133 5.133 5.133
angles (deg): 132.02 132.02 70.20
Fractional positions:
Mg 0.250 0.750 0.500
Mg 0.750 0.250 0.500
Al 0.000 0.000 0.000
Ag 0.500 0.500 0.000

***

Repeat the seventh record exactly.
Entry from Alexandria: a relaxed structure of Sr2FeH6 (GGA-PBEsol).

Results
Magnetization (μB per cell): 0.13
Symmetry: Fm-3m
Raw total energy (eV per atom): -4.15

a b c (Å): 5.172 5.172 5.172
angles (deg): 60.00 60.00 60.00
Fractional positions:
Sr 0.250 0.250 0.250
Sr 0.750 0.750 0.750
Fe 0.000 0.000 0.000
H 0.219 0.219 0.781
H 0.219 0.781 0.219
H 0.219 0.781 0.781
H 0.781 0.219 0.219
H 0.781 0.219 0.781
H 0.781 0.781 0.219